(1)
Crystalline PuAlPd at its relaxed geometry. Source: the Alexandria database, functional PBE.

Structure (CIF):
```
data_PuAlPd
_chemical_formula_sum 'Pu2 Al2 Pd2'
_space_group_name_H-M_alt 'P 1'
_space_group_IT_number 1
_cell_length_a 4.1875
_cell_length_b 4.1875
_cell_length_c 7.0386
_cell_angle_alpha 90.00
_cell_angle_beta 90.00
_cell_angle_gamma 90.00
loop_
_space_group_symop_operation_xyz
'x,y,z'
loop_
_atom_site_label
_atom_site_type_symbol
_atom_site_fract_x
_atom_site_fract_y
_atom_site_fract_z
Pd1 Pd 0.5000 0.0000 0.7091
Pu1 Pu 0.0000 0.5000 0.8631
Al1 Al 0.0000 0.0000 0.5000
Pu2 Pu 0.5000 0.0000 0.1369
Al2 Al 0.5000 0.5000 0.5000
Pd2 Pd 0.0000 0.5000 0.2909
```

Computed properties:
Space group: No. 129
M_tot in μB per formula unit: 5.94
Calculated formation energy in eV per atom: -0.504

(2)
Crystalline Sc2ZnRu2 at its relaxed geometry. Source: the Alexandria database, functional PBE.

Structure (CIF):
```
data_Sc2ZnRu2
_chemical_formula_sum 'Sc4 Zn2 Ru4'
_space_group_name_H-M_alt 'P 1'
_space_group_IT_number 1
_cell_length_a 6.7858
_cell_length_b 6.7858
_cell_length_c 3.7677
_cell_angle_alpha 90.00
_cell_angle_beta 90.00
_cell_angle_gamma 90.00
loop_
_space_group_symop_operation_xyz
'x,y,z'
loop_
_atom_site_label
_atom_site_type_symbol
_atom_site_fract_x
_atom_site_fract_y
_atom_site_fract_z
Ru1 Ru 0.6429 0.1429 0.0000
Ru2 Ru 0.8571 0.6429 0.0000
Zn1 Zn 0.5000 0.5000 0.0000
Zn2 Zn 0.0000 0.0000 0.0000
Ru3 Ru 0.3571 0.8571 0.0000
Sc1 Sc 0.6665 0.8335 0.5000
Sc2 Sc 0.3335 0.1665 0.5000
Sc3 Sc 0.1665 0.6665 0.5000
Ru4 Ru 0.1429 0.3571 0.0000
Sc4 Sc 0.8335 0.3335 0.5000
```

Computed properties:
Space group: No. 127
M_tot in μB per formula unit: 0.00
Calculated formation energy in eV per atom: -0.384